First-principles (PBE with a Hubbard U) data for crystalline RhWF2 at its relaxed geometry, as listed in Alexandria via LeMat-Bulk.

The structure in POSCAR format:
```
RhWF2
1.0
-1.8719 1.8719 7.7749
1.8719 -1.8719 7.7749
1.8719 1.8719 -7.7749
Rh W F
2 2 4
Cartesian
0.0000 0.0000 0.0000
0.0000 1.8719 3.8874
1.8719 0.0000 3.8874
0.0000 0.0000 7.7749
0.9360 -0.6838 5.8312
1.1881 0.9360 1.9437
0.9360 2.5557 -1.9437
0.6838 0.9360 9.7186
```

Calculated values
* N(E_F): 5.41 states/eV per cell
* volume: 109.0 Å³ per cell
* size of the total moment: 0.4 μB per formula unit
* total DFT energy (no corrections): -38.994 eV/cell
* ΔE to the lowest computed polymorph: 207 meV/atom
* crystal system: tetragonal